Density functional theory data (GGA-PBE) for a geometry-optimized LaCe3Co structure.

abc: 5.259 5.259 5.259
angles: 90.00 90.00 90.00
Space group Pm-3m (No. 221)
Asymmetric unit:
La1 0.000 0.000 0.000
Ce1 0.000 0.500 0.500
Co1 0.500 0.500 0.500

Summary:
- Formation energy: 0.06 eV per atom
- Offset from the most stable computed form: 96 meV/atom
- D(E_F): 15.84 states/eV per cell
- Energy: -5.90 eV per atom